Arrangement 1

The following is a PBE calculation of a relaxed CsTl6Pb crystal, from Alexandria via LeMat-Bulk.

a = 5.6285 Å, b = 5.6285 Å, c = 9.4386 Å
α = 90.00°, β = 90.00°, γ = 90.00°
Closest atoms and distances in Å follow each position.
Space group P4/mmm (No. 123)
Unique sites:
Cs1 0.0000 0.0000 0.0000 x1  16 Tl 4.14-4.26
Tl1 0.0000 0.5000 0.3215 x4  3 Tl 3.19-3.37, 2 Pb 3.28
Tl2 0.5000 0.5000 0.1613 x2  5 Tl 3.05-3.19
Pb1 0.0000 0.0000 0.5000 x1  8 Tl 3.28



Arrangement 2

The following is a PBE calculation of a relaxed CsTl6Pb crystal, from Alexandria via LeMat-Bulk.

a = 5.6241 Å, b = 5.6241 Å, c = 32.4090 Å
α = 90.00°, β = 90.00°, γ = 120.00°
Closest atoms and distances in Å follow each position.
Space group R-3m (No. 166, hexagonal axes)
Unique sites:
Cs1 0.0000 0.0000 0.0000 x3  8 Tl 3.96-4.29
Tl1 0.0000 0.0000 0.1324 x6  4 Tl 3.36-3.44, 3 Pb 3.43
Tl2 0.0000 0.0000 0.2359 x6  7 Tl 3.36-3.44
Tl3 0.0000 0.0000 0.4031 x6  1 Pb 3.14, 3 Tl 3.37
Pb1 0.0000 0.0000 0.5000 x3  8 Tl 3.14-3.43



Winner for stability: arrangement 2